[1]
Entry from Alexandria: TiPdAu after structural relaxation (PBE).

Cell lengths 6.540, 6.540, 4.226 Å; angles 90.00, 90.00, 147.21 degrees
Positions (direct):
Ti (0.101, 0.899, 0.750)
Ti (0.899, 0.101, 0.250)
Pd (0.248, 0.752, 0.250)
Pd (0.752, 0.248, 0.750)
Au (0.427, 0.573, 0.750)
Au (0.573, 0.427, 0.250)

[2]
Entry from Alexandria: SrMg2AlIr after structural relaxation (PBE).

Cell lengths 5.075, 5.075, 4.819 Å; angles 90.00, 90.00, 90.00 degrees
Positions (direct):
Sr (0.000, 0.000, 0.000)
Mg (0.000, 0.500, 0.500)
Mg (0.500, 0.000, 0.500)
Al (0.500, 0.500, 0.000)
Ir (0.500, 0.500, 0.500)

[3]
Entry from Alexandria: Pb3I5F after structural relaxation (PBE).

Cell lengths 9.509, 9.509, 9.887 Å; angles 108.09, 108.09, 72.10 degrees
Positions (direct):
Pb (0.000, 0.000, 0.000)
Pb (0.000, 0.000, 0.500)
Pb (0.225, 0.225, 0.410)
Pb (0.343, 0.343, 0.854)
Pb (0.657, 0.657, 0.146)
Pb (0.775, 0.775, 0.590)
I (0.003, 0.634, 0.367)
I (0.225, 0.225, 0.080)
I (0.291, 0.709, 0.000)
I (0.366, 0.997, 0.633)
I (0.435, 0.435, 0.627)
I (0.565, 0.565, 0.373)
I (0.634, 0.003, 0.367)
I (0.709, 0.291, 0.000)
I (0.775, 0.775, 0.920)
I (0.997, 0.366, 0.633)
F (0.046, 0.046, 0.281)
F (0.954, 0.954, 0.719)

Results
ΔE_f (raw) (eV/f.u.): -7.69

[4]
Entry from Alexandria: HgOsPb2 after structural relaxation (PBE).

Cell lengths 5.076, 5.076, 5.076 Å; angles 60.00, 60.00, 60.00 degrees
Positions (direct):
Hg (0.000, 0.000, 0.000)
Os (0.250, 0.250, 0.250)
Pb (0.500, 0.500, 0.500)
Pb (0.750, 0.750, 0.750)

[5]
Entry from Alexandria: Na4LiPa3S8 after structural relaxation (PBE).

Cell lengths 8.117, 8.117, 8.117 Å; angles 58.55, 58.55, 58.55 degrees
Positions (direct):
Na (0.000, 0.000, 0.000)
Na (0.000, 0.500, 0.500)
Na (0.500, 0.000, 0.500)
Na (0.500, 0.500, 0.000)
Li (0.500, 0.500, 0.500)
Pa (0.000, 0.000, 0.500)
Pa (0.000, 0.500, 0.000)
Pa (0.500, 0.000, 0.000)
S (0.238, 0.744, 0.744)
S (0.244, 0.244, 0.244)
S (0.256, 0.256, 0.762)
S (0.256, 0.762, 0.256)
S (0.744, 0.238, 0.744)
S (0.744, 0.744, 0.238)
S (0.756, 0.756, 0.756)
S (0.762, 0.256, 0.256)

Results
ΔE_f (raw) (eV/f.u.): -23.32

[6]
Entry from Alexandria: CsZnF3 after structural relaxation (PBE).

Cell lengths 5.706, 11.395, 6.700 Å; angles 90.00, 90.00, 90.00 degrees
Positions (direct):
Cs (0.000, 0.000, 0.000)
Cs (0.000, 0.500, 0.000)
Cs (0.500, 0.000, 0.500)
Cs (0.500, 0.500, 0.500)
Zn (0.001, 0.250, 0.457)
Zn (0.499, 0.750, 0.957)
Zn (0.501, 0.250, 0.043)
Zn (0.999, 0.750, 0.543)
F (0.002, 0.109, 0.602)
F (0.002, 0.391, 0.602)
F (0.250, 0.250, 0.249)
F (0.250, 0.750, 0.749)
F (0.498, 0.609, 0.102)
F (0.498, 0.891, 0.102)
F (0.502, 0.109, 0.898)
F (0.502, 0.391, 0.898)
F (0.750, 0.250, 0.251)
F (0.750, 0.750, 0.751)
F (0.998, 0.609, 0.398)
F (0.998, 0.891, 0.398)

Results
ΔE_f (raw) (eV/f.u.): -12.32

no.,raw total energy (eV for the cell shown)
1,-35.76
2,-19.20
3,-56.88
4,-15.23
5,-92.02
6,-80.24